Record 1
Nb6RuRh5: optimized geometry, PBE.

a b c (Å): 4.082 7.672 12.297
angles (deg): 90.00 90.00 90.00
Space group Immm (No. 71)
Unique sites:
1 Nb 0.000 0.245 0.000 [4 per cell]
2 Nb 0.000 0.252 0.334 [8 per cell]
3 Ru 0.000 0.500 0.500 [2 per cell]
4 Rh 0.000 0.000 0.170 [4 per cell]
5 Rh 0.000 0.000 0.500 [2 per cell]
6 Rh 0.000 0.500 0.165 [4 per cell]

Values from the calculation:
The value obtained for the total energy is -0.33977 hartree per atom. The formation energy comes out at -4.50 eV per formula unit.

Record 2
TbDy4Y2Mg: optimized geometry, PBE.

a b c (Å): 4.949 4.960 10.039
angles (deg): 90.00 90.00 90.00
Space group Pmmm (No. 47)
Unique sites:
1 Tb 0.000 0.000 0.000 [1 per cell]
2 Dy 0.000 0.500 0.252 [2 per cell]
3 Dy 0.500 0.000 0.252 [2 per cell]
4 Y 0.000 0.000 0.500 [1 per cell]
5 Y 0.500 0.500 0.000 [1 per cell]
6 Mg 0.500 0.500 0.500 [1 per cell]

Values from the calculation:
The value obtained for the total energy is -0.17173 hartree per atom. The formation energy comes out at 0.18 eV per formula unit.

Record 3
Li5Ho3H12: optimized geometry, PBE.

a b c (Å): 11.786 11.786 11.786
angles (deg): 90.00 90.00 90.00
Space group Ia-3d (No. 230)
Unique sites:
1 Li 0.000 0.000 0.000 [16 per cell]
2 Li 0.000 0.250 0.375 [24 per cell]
3 Ho 0.000 0.250 0.125 [24 per cell]
4 H 0.024 0.063 0.655 [96 per cell]

Values from the calculation:
The value obtained for the total energy is -0.13343 hartree per atom.

Record 4
BaTcOF2: optimized geometry, PBE.

a b c (Å): 4.502 4.502 3.935
angles (deg): 90.00 90.00 90.00
Space group P4/mmm (No. 123)
Unique sites:
1 Ba 0.000 0.000 0.000 [1 per cell]
2 Tc 0.500 0.500 0.500 [1 per cell]
3 O 0.500 0.500 0.000 [1 per cell]
4 F 0.000 0.500 0.500 [2 per cell]

Values from the calculation:
The value obtained for the total energy is -0.22529 hartree per atom. Its distance to the lowest polymorph of the same formula is 0 meV/atom.

Record 5
MoAsPb2: optimized geometry, PBE.

a b c (Å): 4.710 4.710 8.488
angles (deg): 90.00 90.00 90.00
Space group I-4m2 (No. 119)
Unique sites:
1 Mo 0.000 0.000 0.000 [2 per cell]
2 As 0.000 0.500 0.250 [2 per cell]
3 Pb 0.000 0.000 0.500 [2 per cell]
4 Pb 0.000 0.500 0.750 [2 per cell]

Values from the calculation:
The value obtained for the total energy is -0.18451 hartree per atom. The formation energy comes out at 2.81 eV per formula unit.

Record 6
Pr2HoNpN4: optimized geometry, PBE.

a b c (Å): 6.076 3.546 6.189
angles (deg): 90.00 108.68 90.00
Space group P2/m (No. 10)
Unique sites:
1 Pr 0.000 0.000 0.000 [1 per cell]
2 Pr 0.500 0.500 0.000 [1 per cell]
3 Ho 0.000 0.500 0.500 [1 per cell]
4 Np 0.500 0.000 0.500 [1 per cell]
5 N 0.258 0.000 0.716 [2 per cell]
6 N 0.269 0.500 0.283 [2 per cell]

Values from the calculation:
The value obtained for the total energy is -0.32800 hartree per atom.

Record 7
TaTl2Zn: optimized geometry, PBE.

a b c (Å): 3.1927 3.1927 28.9478
angles (deg): 90.00 90.00 120.00
Space group R-3m (No. 166, hexagonal axes)
Unique sites:
1 Ta 0.0000 0.0000 0.0000 [3 per cell]
2 Tl 0.0000 0.0000 0.2476 [6 per cell]
3 Zn 0.0000 0.0000 0.5000 [3 per cell]

Values from the calculation:
The value obtained for the total energy is -0.14745 hartree per atom. The formation energy comes out at 1.81 eV per formula unit. Its distance to the lowest polymorph of the same formula is 101 meV/atom.

Record 8
YIrS3: optimized geometry, PBE.

a b c (Å): 4.663 4.663 4.663
angles (deg): 90.00 90.00 90.00
Space group Pm-3m (No. 221)
Unique sites:
1 Y 0.000 0.000 0.000 [1 per cell]
2 Ir 0.500 0.500 0.500 [1 per cell]
3 S 0.000 0.500 0.500 [3 per cell]

Values from the calculation:
The value obtained for the total energy is -0.22037 hartree per atom. Its distance to the lowest polymorph of the same formula is 0 meV/atom.